# 1
BaGeS3 | Alexandria | PBE | optimized geometry; symmetry = P-1; formation energy from raw total energies = -1094.0 meV/atom; uncorrected energy = -4.878 eV/atom; total moment = 0.000 μB per atom
1.0
-5.019 -0.382 -0.460
0.032 -7.132 2.246
-1.025 0.544 7.394
S Ba Ge
6 2 2
Direct
0.967 0.552 0.991
0.976 0.032 0.055
0.508 0.872 0.727
0.976 0.617 0.472
0.518 0.352 0.791
0.509 0.287 0.310
0.995 0.151 0.590
0.490 0.754 0.193
0.742 0.621 0.722
0.743 0.283 0.060

***

# 2
RbRu3F | Alexandria | PBE | optimized geometry; symmetry = Pm-3m; formation energy from raw total energies = 1496.4 meV/atom; uncorrected energy = -4.637 eV/atom; total moment = 1.515 μB per atom
1.0
-2.851 1.198 3.447
-0.315 -4.438 1.282
3.635 0.555 2.814
Ru F Rb
3 1 1
Direct
0.000 0.000 0.500
0.000 0.500 0.000
0.500 0.000 0.000
0.000 0.000 0.000
0.500 0.500 0.500

***

# 3
HoNbSi2 | Alexandria | PBE | optimized geometry; symmetry = R-3m; formation energy from raw total energies = -453.4 meV/atom; uncorrected energy = -6.827 eV/atom; total moment = 0.000 μB per atom
1.0
3.796 0.000 0.000
1.898 3.287 0.000
1.898 1.096 6.394
Ho Nb Si
1 1 2
Direct
0.500 0.500 0.500
0.000 0.000 0.000
0.740 0.740 0.780
0.260 0.260 0.220

***

# 4
Tm6Bi2Sb | Alexandria | PBE | optimized geometry; symmetry = P2_1/c; formation energy from raw total energies = -492.0 meV/atom; uncorrected energy = -4.793 eV/atom; total moment = 0.000 μB per atom
1.0
6.353 0.000 0.135
0.000 8.224 0.000
-0.616 0.000 10.230
Tm Bi Sb
12 4 2
Direct
0.869 0.968 0.219
0.369 0.532 0.719
0.131 0.032 0.781
0.121 0.299 0.052
0.379 0.799 0.448
0.621 0.201 0.552
0.631 0.468 0.281
0.132 0.341 0.448
0.368 0.841 0.052
0.868 0.659 0.552
0.879 0.701 0.948
0.632 0.159 0.948
0.412 0.117 0.260
0.912 0.383 0.760
0.088 0.617 0.240
0.588 0.883 0.740
0.500 0.500 0.000
0.000 0.000 0.500

***

# 5
Mg3NbI | Alexandria | PBE | optimized geometry; symmetry = Pm-3m; formation energy from raw total energies = 1246.1 meV/atom; uncorrected energy = -2.035 eV/atom; total moment = 0.639 μB per atom
1.0
5.422 0.000 0.000
0.000 5.422 0.000
0.000 0.000 5.422
Mg Nb I
3 1 1
Direct
0.500 0.000 0.000
0.000 0.000 0.500
0.000 0.500 0.000
0.500 0.500 0.500
0.000 0.000 0.000